This record from Alexandria describes BeInCl2 at its PBEsol-relaxed geometry. The functional is meta-GGA SCAN. Values from VASP.

- space group = R-3m
- VASP energy (eV per atom) = -14.28
- E above lowest polymorph (meV per atom) = 0
- formation energy (no corrections) (eV/atom) = -0.8554

Quantum ESPRESSO input file:
```
&SYSTEM
  ibrav = 0, nat = 4, ntyp = 3
/
ATOMIC_SPECIES
Be 9.01 Be.upf
Cl 35.45 Cl.upf
In 114.82 In.upf
CELL_PARAMETERS angstrom
-1.468 -2.147 -1.831
-1.106 -2.693 1.282
-10.542 3.310 1.804
ATOMIC_POSITIONS crystal
Be 0.000 0.000 0.000
Cl 0.705 0.705 0.886
In 0.500 0.500 0.500
Cl 0.295 0.295 0.114
```

=====

This record from Alexandria describes IrPt2Br at its PBEsol-relaxed geometry. The functional is meta-GGA SCAN. Values from VASP.

- space group = Cm
- VASP energy (eV per atom) = -57.26
- E above lowest polymorph (meV per atom) = 0
- formation energy (no corrections) (eV/atom) = 0.4729

Quantum ESPRESSO input file:
```
&SYSTEM
  ibrav = 0, nat = 4, ntyp = 3
/
ATOMIC_SPECIES
Pt 195.08 Pt.upf
Ir 192.22 Ir.upf
Br 79.90 Br.upf
CELL_PARAMETERS angstrom
-2.257 -1.638 0.262
3.386 -1.865 2.537
-2.564 4.217 4.278
ATOMIC_POSITIONS crystal
Pt 0.286 0.572 0.822
Ir 0.789 0.577 0.162
Br 0.384 0.768 0.491
Pt 0.041 0.082 0.026
```

=====

This record from Alexandria describes Cd2NiP at its PBEsol-relaxed geometry. The functional is meta-GGA SCAN. Values from VASP.

- space group = Pm
- calculated formation energy (eV/atom) = -0.024
- VASP energy (eV per atom) = -21.87

Quantum ESPRESSO input file:
```
&SYSTEM
  ibrav = 0, nat = 4, ntyp = 3
/
ATOMIC_SPECIES
Ni 58.69 Ni.upf
Cd 112.41 Cd.upf
P 30.97 P.upf
CELL_PARAMETERS angstrom
3.552 0.000 0.000
0.000 3.934 -0.071
0.000 -1.888 4.860
ATOMIC_POSITIONS crystal
Ni 0.000 0.311 0.496
Cd 0.000 0.031 0.938
P 0.500 0.438 0.751
Cd 0.500 0.720 0.315
```

=====

This record from Alexandria describes Hf2BeZnO at its PBEsol-relaxed geometry. The functional is meta-GGA SCAN. Values from VASP.

- space group = P4/mmm
- VASP energy (eV per atom) = -29.15
- formation energy (no corrections) (eV/atom) = 0.7386

Quantum ESPRESSO input file:
```
&SYSTEM
  ibrav = 0, nat = 5, ntyp = 4
/
ATOMIC_SPECIES
Zn 65.41 Zn.upf
Be 9.01 Be.upf
Hf 178.49 Hf.upf
O 16.00 O.upf
CELL_PARAMETERS angstrom
3.494 0.000 0.000
0.000 5.061 0.000
0.000 0.000 5.061
ATOMIC_POSITIONS crystal
Zn 0.000 0.000 0.000
Be 0.500 0.500 0.500
Hf 0.000 0.000 0.500
O 0.500 0.000 0.000
Hf 0.000 0.500 0.000
```

=====

This record from Alexandria describes YCd2 at its PBEsol-relaxed geometry. The functional is meta-GGA SCAN. Values from VASP.

- space group = Pnma
- calculated formation energy (eV/atom) = -0.405
- VASP energy (eV per atom) = -29.96

Quantum ESPRESSO input file:
```
&SYSTEM
  ibrav = 0, nat = 12, ntyp = 2
/
ATOMIC_SPECIES
Y 88.91 Y.upf
Cd 112.41 Cd.upf
CELL_PARAMETERS angstrom
4.896 0.000 0.000
0.000 6.256 0.000
0.000 0.000 9.043
ATOMIC_POSITIONS crystal
Y 0.750 0.816 0.080
Y 0.250 0.684 0.580
Cd 0.250 0.032 0.266
Y 0.750 0.316 0.420
Cd 0.250 0.532 0.234
Cd 0.750 0.968 0.734
Cd 0.750 0.822 0.412
Cd 0.250 0.678 0.912
Y 0.250 0.184 0.920
Cd 0.250 0.178 0.588
Cd 0.750 0.322 0.088
Cd 0.750 0.468 0.766
```

=====

This record from Alexandria describes NdCdAg2 at its PBEsol-relaxed geometry. The functional is meta-GGA SCAN. Values from VASP.

- space group = Fm-3m
- calculated formation energy (eV/atom) = -0.298
- VASP energy (eV per atom) = -34.48

Quantum ESPRESSO input file:
```
&SYSTEM
  ibrav = 0, nat = 4, ntyp = 3
/
ATOMIC_SPECIES
Ag 107.87 Ag.upf
Cd 112.41 Cd.upf
Nd 144.24 Nd.upf
CELL_PARAMETERS angstrom
4.939 0.000 0.000
2.470 4.278 0.000
2.470 1.426 4.033
ATOMIC_POSITIONS crystal
Ag 0.250 0.250 0.250
Cd 0.000 0.000 0.000
Nd 0.500 0.500 0.500
Ag 0.750 0.750 0.750
```

=====

This record from Alexandria describes K2InRu at its PBEsol-relaxed geometry. The functional is meta-GGA SCAN. Values from VASP.

- space group = Pmmm
- calculated formation energy (eV/atom) = 0.707
- VASP energy (eV per atom) = -20.51

Quantum ESPRESSO input file:
```
&SYSTEM
  ibrav = 0, nat = 4, ntyp = 3
/
ATOMIC_SPECIES
K 39.10 K.upf
Ru 101.07 Ru.upf
In 114.82 In.upf
CELL_PARAMETERS angstrom
3.612 0.000 0.000
0.000 4.494 0.000
0.000 0.000 5.660
ATOMIC_POSITIONS crystal
K 0.000 0.000 0.000
Ru 0.500 0.000 0.500
In 0.000 0.500 0.500
K 0.500 0.500 0.000
```

=====

This record from Alexandria describes InSb2Pt at its PBEsol-relaxed geometry. The functional is meta-GGA SCAN. Values from VASP.

- space group = Cmmm
- VASP energy (eV per atom) = -44.90
- formation energy (no corrections) (eV/atom) = -0.3737

Quantum ESPRESSO input file:
```
&SYSTEM
  ibrav = 0, nat = 4, ntyp = 3
/
ATOMIC_SPECIES
Sb 121.76 Sb.upf
In 114.82 In.upf
Pt 195.08 Pt.upf
CELL_PARAMETERS angstrom
4.152 0.000 0.000
0.000 5.208 -0.027
0.000 -2.372 4.636
ATOMIC_POSITIONS crystal
Sb 0.000 0.186 0.814
Sb 0.000 0.814 0.186
In 0.500 0.500 0.500
Pt 0.500 0.000 0.000
```